Al3Pt5: optimized geometry, PBEsol.

Unit cell a=3.951 b=5.407 c=10.749 alpha=90.00 beta=90.00 gamma=90.00
Positions (direct):
Al (0.500, 0.186, 0.640)
Al (0.000, 0.000, 0.000)
Al (0.500, 0.814, 0.360)
Al (0.500, 0.314, 0.140)
Al (0.500, 0.686, 0.860)
Al (0.000, 0.500, 0.500)
Pt (0.500, 0.791, 0.108)
Pt (0.000, 0.564, 0.266)
Pt (0.000, 0.064, 0.234)
Pt (0.500, 0.291, 0.392)
Pt (0.500, 0.709, 0.608)
Pt (0.500, 0.209, 0.892)
Pt (0.000, 0.500, 0.000)
Pt (0.000, 0.936, 0.766)
Pt (0.000, 0.000, 0.500)
Pt (0.000, 0.436, 0.734)

Formation energy from the elements: -0.920 eV per atom
Uncorrected energy: -108.91 eV per cell
V: 229.6 Å³/cell

---

Al5Pt: optimized geometry, PBEsol.

Unit cell a=2.849 b=2.849 c=11.493 alpha=90.00 beta=90.00 gamma=90.00
Positions (direct):
Al (0.000, 0.000, 0.500)
Al (0.500, 0.500, 0.676)
Al (0.000, 0.000, 0.151)
Al (0.000, 0.000, 0.849)
Al (0.500, 0.500, 0.324)
Pt (0.500, 0.500, 0.000)

Formation energy from the elements: -0.310 eV per atom
Uncorrected energy: -29.28 eV per cell
V: 93.3 Å³/cell

---

Al2Pt: optimized geometry, PBEsol.

Unit cell a=5.014 b=5.014 c=5.014 alpha=106.14 beta=106.14 gamma=116.36
Positions (direct):
Al (0.161, 0.661, 0.822)
Al (0.839, 0.339, 0.178)
Al (0.661, 0.839, 0.500)
Al (0.339, 0.161, 0.500)
Pt (0.750, 0.750, 0.000)
Pt (0.250, 0.250, 0.000)

Formation energy from the elements: -0.699 eV per atom
Uncorrected energy: -34.49 eV per cell
V: 96.0 Å³/cell

---

AlPt3: optimized geometry, PBEsol.

Unit cell a=3.869 b=3.869 c=3.869 alpha=90.00 beta=90.00 gamma=90.00
Positions (direct):
Pt (0.500, 0.500, 0.000)
Pt (0.500, 0.000, 0.500)
Pt (0.000, 0.500, 0.500)
Al (0.000, 0.000, 0.000)

Formation energy from the elements: -0.706 eV per atom
Uncorrected energy: -27.81 eV per cell
V: 57.9 Å³/cell

---

RbZr2AlPt: optimized geometry, PBEsol.

Unit cell a=4.893 b=4.915 c=4.915 alpha=90.00 beta=90.00 gamma=90.00
Positions (direct):
Al (0.500, 0.500, 0.500)
Rb (0.000, 0.000, 0.000)
Zr (0.000, 0.500, 0.000)
Zr (0.000, 0.000, 0.500)
Pt (0.500, 0.000, 0.000)

Formation energy from the elements: 1.912 eV per atom
Uncorrected energy: -20.70 eV per cell
V: 118.2 Å³/cell

---

AlRePt2: optimized geometry, PBEsol.

Unit cell a=2.704 b=4.686 c=4.686 alpha=90.00 beta=90.00 gamma=90.00
Site moments in Bohr magnetons follow the coordinates.
Positions (direct):
Pt (0.000, 0.500, 0.000)  0.05
Pt (0.000, 0.000, 0.500)  0.05
Al (0.500, 0.000, 0.000)  0.00
Re (0.500, 0.500, 0.500)  0.55

Formation energy from the elements: -0.276 eV per atom
Uncorrected energy: -32.45 eV per cell
V: 59.4 Å³/cell

---

Repeat the first record exactly.
Al3Pt5: optimized geometry, PBEsol.

Unit cell a=3.951 b=5.407 c=10.749 alpha=90.00 beta=90.00 gamma=90.00
Positions (direct):
Al (0.500, 0.186, 0.640)
Al (0.000, 0.000, 0.000)
Al (0.500, 0.814, 0.360)
Al (0.500, 0.314, 0.140)
Al (0.500, 0.686, 0.860)
Al (0.000, 0.500, 0.500)
Pt (0.500, 0.791, 0.108)
Pt (0.000, 0.564, 0.266)
Pt (0.000, 0.064, 0.234)
Pt (0.500, 0.291, 0.392)
Pt (0.500, 0.709, 0.608)
Pt (0.500, 0.209, 0.892)
Pt (0.000, 0.500, 0.000)
Pt (0.000, 0.936, 0.766)
Pt (0.000, 0.000, 0.500)
Pt (0.000, 0.436, 0.734)

Formation energy from the elements: -0.920 eV per atom
Uncorrected energy: -108.91 eV per cell
V: 229.6 Å³/cell

---

Question: What is the formation energy from the elements in the second record?
Answer: -0.310 eV per atom

---

Question: uncorrected energy of number 5 (RbZr2AlPt)?
Answer: -20.70 eV per cell

---

Please write out number 5 again, unchanged.
RbZr2AlPt: optimized geometry, PBEsol.

Unit cell a=4.893 b=4.915 c=4.915 alpha=90.00 beta=90.00 gamma=90.00
Positions (direct):
Al (0.500, 0.500, 0.500)
Rb (0.000, 0.000, 0.000)
Zr (0.000, 0.500, 0.000)
Zr (0.000, 0.000, 0.500)
Pt (0.500, 0.000, 0.000)

Formation energy from the elements: 1.912 eV per atom
Uncorrected energy: -20.70 eV per cell
V: 118.2 Å³/cell